1.
Entry from Alexandria: a geometry-optimized Sb4PdRu structure (GGA-PBE).

Lattice parameters (Å, degrees): 6.5953 6.5814 6.4506 90.00 94.33 90.00
Element x y z (fractional)
Sb1 0.8848 0.6306 0.1278
Sb2 0.6152 0.1306 0.8722
Sb3 0.3543 0.3633 0.3954
Sb4 0.1457 0.8633 0.6046
Sb5 0.1152 0.3694 0.8722
Sb6 0.3848 0.8694 0.1278
Sb7 0.6457 0.6367 0.6046
Sb8 0.8543 0.1367 0.3954
Pd1 0.0000 0.0000 0.0000
Pd2 0.5000 0.5000 0.0000
Ru1 0.5000 0.0000 0.5000
Ru2 0.0000 0.5000 0.5000

Raw formation energy = -1.2 eV per formula unit
E_tot = -64.3 eV for the cell shown

2.
Entry from Alexandria: a geometry-optimized ErTmZnAg structure (GGA-PBE).

Lattice parameters (Å, degrees): 5.0424 5.0424 5.0424 60.00 60.00 60.00
Element x y z (fractional)
Zn1 0.7500 0.7500 0.7500
Tm1 0.5000 0.5000 0.5000
Ag1 0.2500 0.2500 0.2500
Er1 0.0000 0.0000 0.0000

Formation energy from the elements = -0.334 eV per atom
E_tot = -14.5 eV for the cell shown

3.
Entry from Alexandria: a geometry-optimized TaVPt3 structure (GGA-PBE).

Lattice parameters (Å, degrees): 4.5801 4.5801 4.5801 90.00 90.00 90.00
Each line ends with the local moment (μB).
Element x y z (fractional)
Ta1 0.5000 0.5000 0.5000  0.86
Pt1 0.0000 0.5000 0.0000  0.03
Pt2 0.0000 0.0000 0.5000  0.03
Pt3 0.5000 0.0000 0.0000  0.03
V1 0.0000 0.0000 0.0000  -0.10

ΔE to the lowest computed polymorph = 559.4 kJ/mol of formula units
Formation energy from the elements = 0.844 eV per atom
E_tot = -34.9 eV for the cell shown

4.
Entry from Alexandria: a geometry-optimized MgPRh2 structure (GGA-PBE).

Lattice parameters (Å, degrees): 4.9551 4.9551 2.8667 73.71 73.71 109.82
Element x y z (fractional)
Mg1 0.5000 0.0000 0.5000
P1 0.0000 0.5000 0.5000
Rh1 0.0000 0.0000 0.0000
Rh2 0.5000 0.5000 0.0000

Formation energy from the elements = -0.268 eV per atom
E_tot = -22.8 eV for the cell shown

5.
Entry from Alexandria: a geometry-optimized LaCdHgO structure (GGA-PBE).

Lattice parameters (Å, degrees): 4.3107 4.3107 9.9674 90.00 90.00 90.00
Element x y z (fractional)
La1 0.7500 0.7500 0.8899
La2 0.2500 0.2500 0.1101
Cd1 0.2500 0.7500 0.5000
Cd2 0.7500 0.2500 0.5000
Hg1 0.7500 0.7500 0.2908
Hg2 0.2500 0.2500 0.7092
O1 0.7500 0.2500 0.0000
O2 0.2500 0.7500 0.0000

Raw formation energy = -6.3 eV per formula unit
E_tot = -34.9 eV for the cell shown

6.
Entry from Alexandria: a geometry-optimized ScP2Ru3 structure (GGA-PBE).

Lattice parameters (Å, degrees): 3.8754 7.9693 9.4329 107.89 90.00 104.07
Element x y z (fractional)
Sc1 0.1592 0.3185 0.6933
Sc2 0.8408 0.6815 0.3067
Sc3 0.0000 0.0000 0.0000
P1 0.1946 0.3892 0.1318
P2 0.8054 0.6108 0.8682
P3 0.4577 0.9154 0.2177
P4 0.5423 0.0846 0.7823
P5 0.3609 0.7219 0.5490
P6 0.6391 0.2781 0.4510
Ru1 0.0348 0.0695 0.3214
Ru2 0.9652 0.9305 0.6786
Ru3 0.2170 0.4340 0.3896
Ru4 0.7830 0.5660 0.6104
Ru5 0.6191 0.2382 0.1950
Ru6 0.3809 0.7618 0.8050
Ru7 0.5000 0.0000 0.5000
Ru8 0.3185 0.6369 0.0397
Ru9 0.6815 0.3631 0.9603

Formation energy from the elements = -0.735 eV per atom
E_tot = -148.2 eV for the cell shown

7.
Entry from Alexandria: a geometry-optimized Li2PrMgPd4 structure (GGA-PBE).

Lattice parameters (Å, degrees): 4.4099 4.4099 8.6998 75.32 75.32 60.00
Element x y z (fractional)
Li1 0.7633 0.7633 0.7101
Li2 0.2367 0.2367 0.2899
Pr1 0.0000 0.0000 0.0000
Mg1 0.5000 0.5000 0.5000
Pd1 0.3957 0.3957 0.8130
Pd2 0.8735 0.8735 0.3794
Pd3 0.1265 0.1265 0.6206
Pd4 0.6043 0.6043 0.1870

Formation energy from the elements = -0.579 eV per atom
E_tot = -35.6 eV for the cell shown

8.
Entry from Alexandria: a geometry-optimized PrErU structure (GGA-PBE).

Lattice parameters (Å, degrees): 3.6387 5.9312 8.6953 100.53 102.08 90.00
Each line ends with the local moment (μB).
Element x y z (fractional)
U1 0.7599 0.1481 0.5198  0.97
U2 0.2401 0.8519 0.4802  0.97
Er1 0.5721 0.7983 0.1442  0.01
Er2 0.4279 0.2017 0.8558  0.01
Pr1 0.8848 0.6841 0.7695  0.02
Pr2 0.1152 0.3159 0.2305  0.02

Formation energy from the elements = 0.251 eV per atom
E_tot = -39.8 eV for the cell shown

Please write out number 5 again, unchanged.
Entry from Alexandria: a geometry-optimized LaCdHgO structure (GGA-PBE).

Lattice parameters (Å, degrees): 4.3107 4.3107 9.9674 90.00 90.00 90.00
Element x y z (fractional)
La1 0.7500 0.7500 0.8899
La2 0.2500 0.2500 0.1101
Cd1 0.2500 0.7500 0.5000
Cd2 0.7500 0.2500 0.5000
Hg1 0.7500 0.7500 0.2908
Hg2 0.2500 0.2500 0.7092
O1 0.7500 0.2500 0.0000
O2 0.2500 0.7500 0.0000

Raw formation energy = -6.3 eV per formula unit
E_tot = -34.9 eV for the cell shown